(1)
This record from Alexandria via LeMat-Bulk describes a relaxed AlFe4Ni15 crystal. The functional is PBE.

Results
Its energy relative to the elements is -3.15 eV/f.u.

Cell: 3.5497 3.5497 17.6961 Å, 90.00 90.00 90.00°
Last column: magnetic moment on the atom in μB.
Atoms (fractional coordinates):
Al: 0.0000 0.0000 0.0000  -0.01
Fe: 0.0000 0.0000 0.1997  2.90
Fe: 0.0000 0.0000 0.3998  2.89
Fe: 0.0000 0.0000 0.6002  2.89
Fe: 0.0000 0.0000 0.8003  2.90
Ni: 0.5000 0.5000 0.0000  0.20
Ni: 0.5000 0.5000 0.2009  0.61
Ni: 0.5000 0.5000 0.4002  0.70
Ni: 0.5000 0.5000 0.5998  0.70
Ni: 0.5000 0.5000 0.7991  0.61
Ni: 0.5000 0.0000 0.1019  0.44
Ni: 0.5000 0.0000 0.3004  0.69
Ni: 0.5000 0.0000 0.5000  0.69
Ni: 0.5000 0.0000 0.6996  0.69
Ni: 0.5000 0.0000 0.8981  0.44
Ni: 0.0000 0.5000 0.1019  0.44
Ni: 0.0000 0.5000 0.3004  0.69
Ni: 0.0000 0.5000 0.5000  0.69
Ni: 0.0000 0.5000 0.6996  0.69
Ni: 0.0000 0.5000 0.8981  0.44

(2)
This record from Alexandria via LeMat-Bulk describes a relaxed ScAuCl crystal. The functional is PBE.

Results
The polymorph energy (0 for the lowest one) is 0.0 meV/atom. As for the formation energy (no corrections): -1.0387 eV/atom.

Cell: 3.5900 3.5900 6.7955 Å, 90.00 90.00 120.00°
Last column: magnetic moment on the atom in μB.
Atoms (fractional coordinates):
Au: 0.0000 0.0000 0.9167  0.07
Cl: 0.6667 0.3333 0.4237  0.00
Sc: 0.3333 0.6667 0.6596  0.29

(3)
This record from Alexandria via LeMat-Bulk describes a relaxed Ac2TbMg16 crystal. The functional is PBE.

Results
Its energy relative to the elements is -1.22 eV/f.u.

Cell: 7.9908 7.9908 7.9908 Å, 82.76 82.76 82.76°
Atoms (fractional coordinates):
Ac: 0.6649 0.6649 0.6649
Ac: 0.3402 0.3402 0.3402
Tb: 0.9061 0.9061 0.9061
Mg: 0.7016 0.9999 0.2954
Mg: 0.9999 0.2954 0.7016
Mg: 0.2954 0.7016 0.9999
Mg: 0.9999 0.7016 0.2954
Mg: 0.7016 0.2954 0.9999
Mg: 0.2954 0.9999 0.7016
Mg: 0.3503 0.8389 0.3503
Mg: 0.8389 0.3503 0.3503
Mg: 0.3503 0.3503 0.8389
Mg: 0.6483 0.1519 0.6483
Mg: 0.1519 0.6483 0.6483
Mg: 0.6483 0.6483 0.1519
Mg: 0.0010 0.4944 0.0010
Mg: 0.4944 0.0010 0.0010
Mg: 0.0010 0.0010 0.4944
Mg: 0.1108 0.1108 0.1108

One value per record, in order, for E_tot: -6.3731; -4.8572; -2.0831 eV/atom.